# 1
Pr3Sn6Pt4: relaxed, PBE-GGA.

Cell and atoms, written as CIF:
```
data_Pr3Sn6Pt4
_chemical_formula_sum 'Pr12 Sn24 Pt16'
_cell_length_a 27.971
_cell_length_b 4.655
_cell_length_c 9.475
_cell_angle_alpha 90.00
_cell_angle_beta 90.00
_cell_angle_gamma 90.00
_space_group_name_H-M_alt 'P n m a'
_space_group_IT_number 62
_space_group_name_Hall '-P 2ac 2n'
loop_
_atom_site_label
_atom_site_type_symbol
_atom_site_fract_x
_atom_site_fract_y
_atom_site_fract_z
Pr1 Pr 0.093 0.250 0.114
Pr2 Pr 0.094 0.250 0.636
Pr3 Pr 0.219 0.250 0.875
Sn1 Sn 0.002 0.250 0.378
Sn2 Sn 0.004 0.750 0.128
Sn3 Sn 0.137 0.750 0.875
Sn4 Sn 0.143 0.750 0.374
Sn5 Sn 0.216 0.250 0.220
Sn6 Sn 0.216 0.250 0.531
Pt1 Pt 0.044 0.750 0.870
Pt2 Pt 0.050 0.750 0.380
Pt3 Pt 0.186 0.750 0.631
Pt4 Pt 0.187 0.750 0.118
```

**V**: 1233.8 Å³/cell
**Mass density**: 10.31 Mg/m³
**Calculated total energy**: -295.26 eV/cell



# 2
Ho4NiB13: relaxed, PBE-GGA.

Cell and atoms, written as CIF:
```
data_Ho4NiB13
_chemical_formula_sum 'Ho8 Ni2 B26'
_cell_length_a 7.294
_cell_length_b 7.294
_cell_length_c 6.871
_cell_angle_alpha 90.00
_cell_angle_beta 90.00
_cell_angle_gamma 90.00
_space_group_name_H-M_alt 'P 4/m n c'
_space_group_IT_number 128
_space_group_name_Hall '-P 4 2n'
loop_
_atom_site_label
_atom_site_type_symbol
_atom_site_fract_x
_atom_site_fract_y
_atom_site_fract_z
Ho1 Ho 0.180 0.315 0.000
Ni1 Ni 0.000 0.000 0.500
B1 B 0.000 0.000 0.000
B2 B 0.040 0.830 0.243
B3 B 0.092 0.592 0.250
```

**V**: 365.6 Å³/cell
**Mass density**: 7.80 Mg/m³
**Calculated total energy**: -238.96 eV/cell



# 3
YFeAsW: relaxed, PBE-GGA.

Cell and atoms, written as CIF:
```
data_YFeAsW
_chemical_formula_sum 'Y4 Fe4 As4 W4'
_cell_length_a 6.435
_cell_length_b 6.435
_cell_length_c 6.435
_cell_angle_alpha 90.00
_cell_angle_beta 90.00
_cell_angle_gamma 90.00
_space_group_name_H-M_alt 'F -4 3 m'
_space_group_IT_number 216
_space_group_name_Hall 'F -4 2 3'
loop_
_atom_site_label
_atom_site_type_symbol
_atom_site_fract_x
_atom_site_fract_y
_atom_site_fract_z
Y1 Y 0.000 0.000 0.000
Fe1 Fe 0.250 0.250 0.750
As1 As 0.000 0.000 0.500
W1 W 0.250 0.250 0.250
```

**V**: 266.5 Å³/cell
**Polymorph energy (0 for the lowest one)**: 0.000 eV per atom
**Mass density**: 10.06 Mg/m³



# 4
MgCdAu: relaxed, PBE-GGA.

Cell and atoms, written as CIF:
```
data_MgCdAu
_chemical_formula_sum 'Mg4 Cd4 Au4'
_cell_length_a 4.819
_cell_length_b 9.128
_cell_length_c 5.219
_cell_angle_alpha 90.00
_cell_angle_beta 90.00
_cell_angle_gamma 90.00
_space_group_name_H-M_alt 'A m m 2'
_space_group_IT_number 38
_space_group_name_Hall 'A 2 -2'
loop_
_atom_site_label
_atom_site_type_symbol
_atom_site_fract_x
_atom_site_fract_y
_atom_site_fract_z
Mg1 Mg 0.000 0.000 0.000
Mg2 Mg 0.500 0.000 0.377
Cd1 Cd 0.000 0.168 0.514
Au1 Au 0.500 0.161 0.882
```

**V**: 229.6 Å³/cell
**Polymorph energy (0 for the lowest one)**: 0.037 eV per atom
**Mass density**: 9.65 Mg/m³